Entry 1:
Below is a geometry-optimized Pa3BiP4N12 structure, with properties calculated at the PBE level.

a b c (Å): 6.936 6.936 6.936
angles (deg): 103.53 103.53 103.53
Element x y z (fractional)
N 0.195 0.364 0.976
N 0.894 0.500 0.106
N 0.500 0.354 0.646
N 0.976 0.195 0.364
N 0.805 0.024 0.636
N 0.636 0.805 0.024
N 0.354 0.646 0.500
N 0.106 0.894 0.500
N 0.500 0.106 0.894
N 0.024 0.636 0.805
N 0.364 0.976 0.195
N 0.646 0.500 0.354
P 0.040 0.500 0.960
P 0.960 0.040 0.500
P 0.500 0.960 0.040
P 0.500 0.500 0.500
Pa 0.460 0.000 0.540
Pa 0.540 0.460 0.000
Pa 0.000 0.540 0.460
Bi 0.000 0.000 0.000

Crystal system: trigonal
ΔE_f (raw): -0.5948 eV per atom
Symmetry: R32

Entry 2:
Below is a geometry-optimized BiPPbN2 structure, with properties calculated at the PBE level.

a b c (Å): 4.414 5.383 4.414
angles (deg): 90.00 90.00 90.00
Element x y z (fractional)
Pb 0.500 0.500 0.500
N 0.500 0.000 0.000
N 0.000 0.000 0.500
Bi 0.000 0.000 0.000
P 0.000 0.500 0.000

Crystal system: tetragonal
ΔE_f (raw): 1.4680 eV per atom
Symmetry: P4/mmm

Entry 3:
Below is a geometry-optimized Pr3BiPN structure, with properties calculated at the PBE level.

a b c (Å): 4.273 9.049 9.680
angles (deg): 103.79 90.00 90.00
Element x y z (fractional)
P 0.750 0.344 0.852
P 0.250 0.656 0.148
Pr 0.750 0.887 0.159
Pr 0.750 0.434 0.153
Pr 0.250 0.113 0.841
Pr 0.250 0.838 0.478
Pr 0.250 0.566 0.847
Pr 0.750 0.162 0.522
N 0.250 0.090 0.603
N 0.750 0.910 0.397
Bi 0.250 0.189 0.226
Bi 0.750 0.811 0.774

Crystal system: monoclinic
ΔE_f (raw): -1.1696 eV per atom
Symmetry: P2_1/m

Entry 4:
Below is a geometry-optimized BiPSN2 structure, with properties calculated at the PBE level.

a b c (Å): 3.784 3.784 4.644
angles (deg): 90.00 90.00 90.00
Element x y z (fractional)
S 0.000 0.000 0.500
N 0.000 0.500 0.000
N 0.500 0.000 0.000
Bi 0.500 0.500 0.500
P 0.000 0.000 0.000

Crystal system: tetragonal
Polymorph energy (0 for the lowest one): 0 meV/atom
ΔE_f (raw): 0.8732 eV per atom
Symmetry: P4/mmm

Entry 5:
Below is a geometry-optimized BiPSN2 structure, with properties calculated at the PBE level.

a b c (Å): 4.246 4.246 5.473
angles (deg): 90.00 90.00 90.00
Element x y z (fractional)
S 0.000 0.000 0.500
P 0.500 0.500 0.500
N 0.500 0.000 0.000
N 0.000 0.500 0.000
Bi 0.000 0.000 0.000

Crystal system: tetragonal
Polymorph energy (0 for the lowest one): 1111 meV/atom
ΔE_f (raw): 1.9840 eV per atom
Symmetry: P4/mmm

Entry 6:
Below is a geometry-optimized BiSbP2N structure, with properties calculated at the PBE level.

a b c (Å): 4.402 4.848 4.402
angles (deg): 90.00 90.00 90.00
Element x y z (fractional)
P 0.000 0.000 0.500
P 0.500 0.000 0.000
Sb 0.500 0.500 0.500
N 0.000 0.000 0.000
Bi 0.000 0.500 0.000

Crystal system: tetragonal
ΔE_f (raw): 0.8771 eV per atom
Symmetry: P4/mmm

Entry 7:
Below is a geometry-optimized BiPSe2N structure, with properties calculated at the PBE level.

a b c (Å): 5.211 5.211 3.446
angles (deg): 90.00 90.00 90.00
Element x y z (fractional)
N 0.000 0.000 0.500
Se 0.000 0.500 0.000
Se 0.500 0.000 0.000
Bi 0.500 0.500 0.500
P 0.000 0.000 0.000

Crystal system: tetragonal
Polymorph energy (0 for the lowest one): 0 meV/atom
ΔE_f (raw): 0.4011 eV per atom
Symmetry: P4/mmm

Entry 8:
Below is a geometry-optimized BiPSe2N structure, with properties calculated at the PBE level.

a b c (Å): 5.506 5.506 4.127
angles (deg): 90.00 90.00 90.00
Element x y z (fractional)
Se 0.000 0.500 0.000
Se 0.500 0.000 0.000
P 0.500 0.500 0.500
N 0.000 0.000 0.500
Bi 0.000 0.000 0.000

Crystal system: tetragonal
Polymorph energy (0 for the lowest one): 1082 meV/atom
ΔE_f (raw): 1.4827 eV per atom
Symmetry: P4/mmm

Entry 9:
Below is a geometry-optimized Si2BiPN structure, with properties calculated at the PBE level.

a b c (Å): 4.373 5.622 4.373
angles (deg): 90.00 90.00 90.00
Element x y z (fractional)
Si 0.500 0.000 0.000
Si 0.000 0.000 0.500
N 0.500 0.500 0.500
P 0.000 0.000 0.000
Bi 0.000 0.500 0.000

Crystal system: tetragonal
ΔE_f (raw): 1.6276 eV per atom
Symmetry: P4/mmm

Entry 10:
Below is a geometry-optimized Sm3BiPN structure, with properties calculated at the PBE level.

a b c (Å): 4.170 8.916 9.466
angles (deg): 103.46 90.00 90.00
Element x y z (fractional)
Sm 0.250 0.568 0.850
Sm 0.250 0.840 0.480
Sm 0.750 0.432 0.150
Sm 0.750 0.883 0.161
Sm 0.750 0.160 0.520
Sm 0.250 0.117 0.839
N 0.250 0.091 0.602
N 0.750 0.909 0.398
P 0.750 0.347 0.849
P 0.250 0.653 0.151
Bi 0.750 0.814 0.778
Bi 0.250 0.186 0.222

Crystal system: monoclinic
ΔE_f (raw): -1.2154 eV per atom
Symmetry: P2_1/m

Entry 11:
Below is a geometry-optimized TaBi2PN structure, with properties calculated at the PBE level.

a b c (Å): 5.690 3.258 5.690
angles (deg): 90.00 90.00 90.00
Element x y z (fractional)
Bi 0.000 0.000 0.500
Bi 0.500 0.000 0.000
Ta 0.500 0.500 0.500
P 0.000 0.000 0.000
N 0.000 0.500 0.000

Crystal system: tetragonal
ΔE_f (raw): 0.9037 eV per atom
Symmetry: P4/mmm

Entry 12:
Below is a geometry-optimized Tb3BiPN structure, with properties calculated at the PBE level.

a b c (Å): 4.078 8.818 9.290
angles (deg): 103.26 90.00 90.00
Element x y z (fractional)
N 0.250 0.092 0.602
N 0.750 0.908 0.398
Tb 0.250 0.121 0.838
Tb 0.750 0.879 0.162
Tb 0.250 0.843 0.482
Tb 0.750 0.432 0.148
Tb 0.250 0.568 0.852
Tb 0.750 0.157 0.518
Bi 0.250 0.184 0.220
Bi 0.750 0.816 0.780
P 0.750 0.348 0.845
P 0.250 0.652 0.155

Crystal system: monoclinic
ΔE_f (raw): -1.2509 eV per atom
Symmetry: P2_1/m